Entry 1:
## CaCrTc2 (PBEsol)

Data for CaCrTc2 after structural relaxation.

Results
Symmetry: P4/mmm

Lattice parameters (Å, degrees): 4.4430 4.4430 3.0288 90.00 90.00 90.00
Element x y z (fractional)
Ca: 0.0000 0.0000 0.0000
Cr: 0.5000 0.5000 0.0000
Tc: 0.0000 0.5000 0.5000
Tc: 0.5000 0.0000 0.5000

=====

Entry 2:
## Li2CuN (PBEsol)

Data for Li2CuN after structural relaxation.

Results
Symmetry: Pbcm
Formation energy (no corrections) in eV per formula unit: -1.28

Lattice parameters (Å, degrees): 6.9219 4.9313 5.0903 90.00 90.00 90.00
Element x y z (fractional)
Li: 0.0663 0.1378 0.2500
Li: 0.0663 0.3622 0.7500
Li: 0.3804 0.2500 0.0000
Li: 0.3804 0.2500 0.5000
Li: 0.6196 0.7500 0.0000
Li: 0.6196 0.7500 0.5000
Li: 0.9337 0.6378 0.2500
Li: 0.9337 0.8622 0.7500
Cu: 0.2465 0.7500 0.0000
Cu: 0.2465 0.7500 0.5000
Cu: 0.7535 0.2500 0.0000
Cu: 0.7535 0.2500 0.5000
N: 0.2310 0.0223 0.7500
N: 0.2310 0.4777 0.2500
N: 0.7690 0.5223 0.7500
N: 0.7690 0.9777 0.2500

=====

Entry 3:
## LaIrRh (PBEsol)

Data for LaIrRh after structural relaxation.

Results
Symmetry: F-43m

Lattice parameters (Å, degrees): 4.4915 4.4915 4.4915 60.00 60.00 60.00
Element x y z (fractional)
La: 0.0000 0.0000 0.0000
Ir: 0.5000 0.5000 0.5000
Rh: 0.7500 0.7500 0.7500

=====

| no. | DOS at the Fermi energy (states/eV/cell) | DFT total energy (eV per atom) |
| --- | --- | --- |
| 1 | 4.58 | -7.88 |
| 2 | 1.62 | -4.52 |
| 3 | 5.81 | -7.68 |